Material: LaCrO3
Method: DFT, PBE+U
State: optimized geometry

abc: 9.050 9.050 9.050
angles: 153.22 153.22 38.23
Sites, in units of the cell vectors:
La (0.104, 0.104, 0.000)
La (0.896, 0.896, 0.000)
Cr (0.500, 0.500, 0.000)
Cr (0.750, 0.250, 0.500)
O (0.018, 0.518, 0.500)
O (0.096, 0.343, 0.753)
O (0.482, 0.982, 0.500)
O (0.590, 0.343, 0.247)
O (0.657, 0.410, 0.753)
O (0.657, 0.904, 0.247)

Results
- ρ (g/cm³) = 5.3
- electronic total energy (eV for the cell shown) = -72.02